Entry 1:
Computed, not measured: a relaxed structure of AlBiPtSe2 at the PBE level of DFT. Values from VASP.

Geometry as Quantum ESPRESSO input:
```
&SYSTEM
  ibrav = 0, nat = 5, ntyp = 4
/
ATOMIC_SPECIES
Al 26.98 Al.upf
Bi 208.98 Bi.upf
Pt 195.08 Pt.upf
Se 78.96 Se.upf
CELL_PARAMETERS angstrom
4.669 0.000 0.000
0.000 4.669 0.000
0.000 0.000 5.753
ATOMIC_POSITIONS crystal
Al 0.000 0.000 0.000
Bi 0.000 0.000 0.500
Pt 0.500 0.500 0.500
Se 0.000 0.500 0.000
Se 0.500 0.000 0.000
```

Results
Volume   125 Å³/f.u.
Density of states at the Fermi level   1.33 states/eV/atom
Total energy   -17.74 eV/cell

Entry 2:
Computed, not measured: a relaxed structure of AlSi2BiPt at the PBE level of DFT. Values from VASP.

Geometry as Quantum ESPRESSO input:
```
&SYSTEM
  ibrav = 0, nat = 5, ntyp = 4
/
ATOMIC_SPECIES
Al 26.98 Al.upf
Si 28.09 Si.upf
Bi 208.98 Bi.upf
Pt 195.08 Pt.upf
CELL_PARAMETERS angstrom
5.259 0.000 0.000
0.000 5.259 0.000
0.000 0.000 5.309
ATOMIC_POSITIONS crystal
Al 0.000 0.000 0.000
Si 0.000 0.500 0.500
Si 0.500 0.000 0.500
Bi 0.000 0.000 0.500
Pt 0.500 0.500 0.000
```

Results
Volume   147 Å³/f.u.
Density of states at the Fermi level   0.81 states/eV/atom
Total energy   -15.97 eV/cell

Entry 3:
Computed, not measured: a relaxed structure of AlTcBiPt2 at the PBE level of DFT. Values from VASP.

Geometry as Quantum ESPRESSO input:
```
&SYSTEM
  ibrav = 0, nat = 5, ntyp = 4
/
ATOMIC_SPECIES
Al 26.98 Al.upf
Tc 98.00 Tc.upf
Bi 208.98 Bi.upf
Pt 195.08 Pt.upf
CELL_PARAMETERS angstrom
4.627 0.000 0.000
0.000 4.627 0.000
0.000 0.000 4.688
ATOMIC_POSITIONS crystal
Al 0.000 0.000 0.000
Tc 0.000 0.000 0.500
Bi 0.500 0.500 0.500
Pt 0.000 0.500 0.000
Pt 0.500 0.000 0.000
```

Results
Volume   100 Å³/f.u.
Energy of formation   0.460 eV/atom
Density of states at the Fermi level   0.64 states/eV/atom
Total energy   -27.77 eV/cell

Entry 4:
Computed, not measured: a relaxed structure of AlBiPt2W at the PBE level of DFT. Values from VASP.

Geometry as Quantum ESPRESSO input:
```
&SYSTEM
  ibrav = 0, nat = 5, ntyp = 4
/
ATOMIC_SPECIES
Al 26.98 Al.upf
Bi 208.98 Bi.upf
Pt 195.08 Pt.upf
W 183.84 W.upf
CELL_PARAMETERS angstrom
4.978 0.000 0.000
0.000 4.978 0.000
0.000 0.000 5.183
ATOMIC_POSITIONS crystal
Al 0.000 0.000 0.000
Bi 0.500 0.500 0.500
Pt 0.000 0.500 0.500
Pt 0.500 0.000 0.500
W 0.500 0.500 0.000
```

Results
Volume   128 Å³/f.u.
Energy of formation   1.775 eV/atom
Density of states at the Fermi level   0.15 states/eV/atom
Total energy   -23.78 eV/cell

Entry 5:
Computed, not measured: a relaxed structure of PuAl4Bi at the PBE level of DFT. Values from VASP.

Geometry as Quantum ESPRESSO input:
```
&SYSTEM
  ibrav = 0, nat = 6, ntyp = 3
/
ATOMIC_SPECIES
Pu 244.00 Pu.upf
Al 26.98 Al.upf
Bi 208.98 Bi.upf
CELL_PARAMETERS angstrom
0.000 3.969 3.969
3.969 0.000 3.969
3.969 3.969 0.000
ATOMIC_POSITIONS crystal
Pu 0.000 0.000 0.000
Al 0.374 0.374 0.374
Al 0.374 0.374 0.878
Al 0.374 0.878 0.374
Al 0.878 0.374 0.374
Bi 0.750 0.750 0.750
```

Results
Volume   125 Å³/f.u.
Energy of formation   -0.052 eV/atom
Density of states at the Fermi level   2.56 states/eV/atom
Total energy   -33.49 eV/cell

Entry 6:
Computed, not measured: a relaxed structure of RbAlBi2 at the PBE level of DFT. Values from VASP.

Geometry as Quantum ESPRESSO input:
```
&SYSTEM
  ibrav = 0, nat = 4, ntyp = 3
/
ATOMIC_SPECIES
Rb 85.47 Rb.upf
Al 26.98 Al.upf
Bi 208.98 Bi.upf
CELL_PARAMETERS angstrom
4.019 0.000 0.000
0.000 4.019 0.000
0.000 0.000 8.378
ATOMIC_POSITIONS crystal
Rb 0.000 0.000 0.000
Al 0.000 0.000 0.500
Bi 0.500 0.500 0.321
Bi 0.500 0.500 0.679
```

Results
Volume   135 Å³/f.u.
Energy of formation   0.023 eV/atom
Density of states at the Fermi level   0.46 states/eV/atom
Total energy   -12.38 eV/cell

Entry 7:
Computed, not measured: a relaxed structure of Rb3Al2Bi4 at the PBE level of DFT. Values from VASP.

Geometry as Quantum ESPRESSO input:
```
&SYSTEM
  ibrav = 0, nat = 18, ntyp = 3
/
ATOMIC_SPECIES
Rb 85.47 Rb.upf
Al 26.98 Al.upf
Bi 208.98 Bi.upf
CELL_PARAMETERS angstrom
7.746 -6.122 0.000
7.746 6.122 0.000
-2.182 0.000 8.003
ATOMIC_POSITIONS crystal
Rb 0.083 0.917 0.750
Rb 0.251 0.496 0.438
Rb 0.496 0.251 0.938
Rb 0.504 0.749 0.062
Rb 0.749 0.504 0.562
Rb 0.917 0.083 0.250
Al 0.100 0.323 0.014
Al 0.323 0.100 0.514
Al 0.677 0.900 0.486
Al 0.900 0.677 0.986
Bi 0.103 0.286 0.670
Bi 0.181 0.561 0.944
Bi 0.286 0.103 0.170
Bi 0.439 0.819 0.556
Bi 0.561 0.181 0.444
Bi 0.714 0.897 0.830
Bi 0.819 0.439 0.056
Bi 0.897 0.714 0.330
```

Results
Volume   379 Å³/f.u.
Energy of formation   -0.193 eV/atom
Density of states at the Fermi level   0.43 states/eV/atom
Total energy   -55.30 eV/cell

Entry 8:
Computed, not measured: a relaxed structure of RbAlBi3 at the PBE level of DFT. Values from VASP.

Geometry as Quantum ESPRESSO input:
```
&SYSTEM
  ibrav = 0, nat = 10, ntyp = 3
/
ATOMIC_SPECIES
Rb 85.47 Rb.upf
Al 26.98 Al.upf
Bi 208.98 Bi.upf
CELL_PARAMETERS angstrom
7.257 0.000 0.000
0.000 9.329 0.000
0.000 0.000 5.824
ATOMIC_POSITIONS crystal
Rb 0.000 0.083 0.000
Rb 0.500 0.917 0.500
Al 0.000 0.531 0.300
Al 0.500 0.469 0.800
Bi 0.000 0.770 0.584
Bi 0.246 0.321 0.486
Bi 0.254 0.679 0.986
Bi 0.500 0.230 0.084
Bi 0.746 0.679 0.986
Bi 0.754 0.321 0.486
```

Results
Volume   197 Å³/f.u.
Energy of formation   -0.072 eV/atom
Density of states at the Fermi level   0.28 states/eV/atom
Distance to the lowest polymorph of the same formula   0 meV/atom
Total energy   -33.43 eV/cell

Entry 9:
Computed, not measured: a relaxed structure of Rb4AlBi4 at the PBE level of DFT. Values from VASP.

Geometry as Quantum ESPRESSO input:
```
&SYSTEM
  ibrav = 0, nat = 9, ntyp = 3
/
ATOMIC_SPECIES
Rb 85.47 Rb.upf
Al 26.98 Al.upf
Bi 208.98 Bi.upf
CELL_PARAMETERS angstrom
-3.823 3.823 7.705
3.823 -3.823 7.705
3.823 3.823 -7.705
ATOMIC_POSITIONS crystal
Rb 0.156 0.156 0.587
Rb 0.431 0.844 0.000
Rb 0.569 0.569 0.413
Rb 0.844 0.431 0.000
Al 0.000 0.000 0.000
Bi 0.094 0.689 0.000
Bi 0.311 0.311 0.404
Bi 0.689 0.094 0.000
Bi 0.906 0.906 0.596
```

Results
Volume   450 Å³/f.u.
Energy of formation   -0.032 eV/atom
Density of states at the Fermi level   1.20 states/eV/atom
Total energy   -23.42 eV/cell

Entry 10:
Computed, not measured: a relaxed structure of RbAlBi2 at the PBE level of DFT. Values from VASP.

Geometry as Quantum ESPRESSO input:
```
&SYSTEM
  ibrav = 0, nat = 4, ntyp = 3
/
ATOMIC_SPECIES
Rb 85.47 Rb.upf
Al 26.98 Al.upf
Bi 208.98 Bi.upf
CELL_PARAMETERS angstrom
1.991 1.149 9.845
-1.991 1.149 9.845
0.000 -2.299 9.845
ATOMIC_POSITIONS crystal
Rb 0.000 0.000 0.000
Al 0.500 0.500 0.500
Bi 0.229 0.229 0.229
Bi 0.771 0.771 0.771
```

Results
Volume   135 Å³/f.u.
Energy of formation   -0.004 eV/atom
Density of states at the Fermi level   0.37 states/eV/atom
Total energy   -12.49 eV/cell